Entry 1:
MgGaNiW | the Open Quantum Materials Database | PBE | relaxed; VASP energy = -5.333 eV/atom
1.0
2.972 -1.136 3.007
-0.748 0.818 4.235
-0.825 -3.301 2.754
Ga Mg W Ni
1 1 1 1
Direct
0.000 0.000 0.000 Ga
0.250 0.250 0.250 Mg
0.500 0.500 0.500 W
0.750 0.750 0.750 Ni

Entry 2:
MgGaOs2 | the Open Quantum Materials Database | PBE | relaxed; VASP energy = -6.513 eV/atom
1.0
0.000 3.099 3.099
3.099 0.000 3.099
3.099 3.099 0.000
Os Ga Mg
2 1 1
Direct
0.750 0.750 0.750 Os
0.000 0.000 0.000 Os
0.500 0.500 0.500 Ga
0.250 0.250 0.250 Mg

Entry 3:
MgGaOs | the Open Quantum Materials Database | PBE | relaxed; VASP energy = -4.954 eV/atom
1.0
0.000 2.969 2.969
2.969 0.000 2.969
2.969 2.969 0.000
Mg Ga Os
1 1 1
Direct
0.250 0.250 0.250 Mg
0.000 0.000 0.000 Ga
0.750 0.750 0.750 Os

Entry 4:
Mg2GaPd | the Open Quantum Materials Database | PBE | relaxed; VASP energy = -3.226 eV/atom
1.0
0.000 3.227 3.227
3.227 0.000 3.227
3.227 3.227 0.000
Pd Mg Ga
1 2 1
Direct
0.250 0.250 0.250 Pd
0.750 0.750 0.750 Mg
0.000 0.000 0.000 Mg
0.500 0.500 0.500 Ga

Entry 5:
Mg2Ga3Pd2 | the Open Quantum Materials Database | PBE | relaxed; VASP energy = -3.760 eV/atom
1.0
0.769 3.196 3.935
-2.124 4.490 1.273
-4.067 -4.961 2.009
Ga Mg Pd
3 2 2
Direct
0.500 0.500 0.500 Ga
0.630 0.630 0.957 Ga
0.370 0.370 0.043 Ga
0.844 0.844 0.708 Mg
0.156 0.156 0.292 Mg
0.868 0.868 0.298 Pd
0.132 0.132 0.702 Pd

Entry 6:
Pr3Mg3GaPd2 | the Open Quantum Materials Database | PBE | relaxed; VASP energy = -4.148 eV/atom
1.0
-5.975 2.744 3.785
-1.047 -3.965 -6.382
-0.217 -3.641 2.297
Pd Pr Mg Ga
2 3 3 1
Direct
0.667 0.333 0.000 Pd
0.333 0.667 0.000 Pd
0.417 0.417 0.500 Pr
0.000 0.583 0.500 Pr
0.583 0.000 0.500 Pr
0.246 0.000 0.000 Mg
0.754 0.754 0.000 Mg
0.000 0.246 0.000 Mg
0.000 0.000 0.500 Ga

Entry 7:
Mg3Ga3Pd2Pt | the Open Quantum Materials Database | PBE | relaxed; VASP energy = -3.970 eV/atom
1.0
-4.397 -1.517 5.097
5.638 -3.862 -0.957
1.946 2.258 2.351
Pt Ga Pd Mg
1 3 2 3
Direct
0.000 0.000 0.500 Pt
0.740 0.000 0.000 Ga
0.260 0.260 0.000 Ga
0.000 0.740 0.000 Ga
0.667 0.333 0.000 Pd
0.333 0.667 0.000 Pd
0.594 0.594 0.500 Mg
0.000 0.406 0.500 Mg
0.406 0.000 0.500 Mg

Entry 8:
Mg3Ga3PdPt2 | the Open Quantum Materials Database | PBE | relaxed; VASP energy = -4.114 eV/atom
1.0
-1.792 5.309 3.958
-1.563 -6.396 1.926
3.333 -0.256 1.853
Pd Pt Mg Ga
1 2 3 3
Direct
0.000 0.000 0.500 Pd
0.333 0.667 0.000 Pt
0.667 0.333 0.000 Pt
0.000 0.409 0.500 Mg
0.409 0.000 0.500 Mg
0.591 0.591 0.500 Mg
0.000 0.740 0.000 Ga
0.260 0.260 0.000 Ga
0.740 0.000 0.000 Ga